Record 1
An optimized crystal structure of La2PrTmTh. Source: Alexandria via LeMat-Bulk, functional PBE.

Density   7.5 g/cm³
Formation energy   0.300 eV/atom

Cell and atoms, written as extended XYZ:
```
10
Lattice="-3.973 4.232 2.647 -3.000 -6.468 5.837 5.135 3.212 2.571" Properties=species:S:1:pos:R:3 pbc="T T T"
La -0.482 1.195 8.003
Th 2.567 1.606 1.286
La -1.526 -2.034 5.703
Pr -3.541 1.110 5.776
Th 0.000 0.000 0.000
Tm 1.871 4.518 3.248
Pr 1.702 -0.134 5.279
La -0.313 3.011 5.353
La -1.357 -0.218 3.052
Tm -0.709 2.926 1.970
```

---

Record 2
An optimized crystal structure of Li2La2ThGa2. Source: Alexandria via LeMat-Bulk, functional PBE.

Density   6.5 g/cm³
Formation energy   -0.271 eV/atom

Cell and atoms, written as extended XYZ:
```
7
Lattice="4.678 0.000 0.000 2.339 4.051 0.000 2.339 1.350 8.976" Properties=species:S:1:pos:R:3 pbc="T T T"
Ga 7.016 4.051 7.220
Th 0.000 0.000 0.000
Ga 2.339 1.350 1.756
Li 4.678 2.701 7.250
La 2.339 1.350 5.430
Li 4.678 2.701 1.726
La 7.016 4.051 3.546
```

---

Record 3
An optimized crystal structure of Ca2Zn2Bi. Source: Alexandria via LeMat-Bulk, functional PBE.

Density   4.9 g/cm³
Formation energy   -0.180 eV/atom

Cell and atoms, written as extended XYZ:
```
5
Lattice="-0.821 -4.763 -3.346 5.026 1.124 -2.834 4.180 -4.123 -0.320" Properties=species:S:1:pos:R:3 pbc="T T T"
Ca 5.654 -2.409 -3.122
Zn 2.694 -2.476 -2.300
Zn 5.690 -5.286 -4.199
Ca 2.730 -5.353 -3.378
Bi 0.000 0.000 0.000
```